Record 1
The following is a DFT calculation (PBE) of a relaxed FeSnRu3 crystal. Values from VASP.

```
&SYSTEM
  ibrav = 0, nat = 5, ntyp = 3
/
ATOMIC_SPECIES
Fe 55.84 Fe.upf
Sn 118.71 Sn.upf
Ru 101.07 Ru.upf
ATOMIC_POSITIONS crystal
Fe 0.000 0.000 0.000
Sn 0.500 0.500 0.500
Ru 0.000 0.000 0.500
Ru 0.000 0.500 0.000
Ru 0.500 0.000 0.000
CELL_PARAMETERS angstrom
4.424 0.000 0.000
0.000 4.424 0.000
0.000 0.000 4.424
```

- magnetic moment (μB/f.u.) = 0.000
- symmetry = Pm-3m

Record 2
The following is a DFT calculation (PBE) of a relaxed Fe4SnRu crystal. Values from VASP.

```
&SYSTEM
  ibrav = 0, nat = 6, ntyp = 3
/
ATOMIC_SPECIES
Fe 55.84 Fe.upf
Sn 118.71 Sn.upf
Ru 101.07 Ru.upf
ATOMIC_POSITIONS crystal
Fe 0.125 0.125 0.125
Fe 0.125 0.125 0.624
Fe 0.125 0.624 0.125
Fe 0.624 0.125 0.125
Sn 0.750 0.750 0.750
Ru 0.500 0.500 0.500
CELL_PARAMETERS angstrom
0.000 3.440 3.440
3.440 0.000 3.440
3.440 3.440 0.000
```

- magnetic moment (μB/f.u.) = 10.950
- symmetry = F-43m

Record 3
The following is a DFT calculation (PBE) of a relaxed FeSn6Ru crystal. Values from VASP.

```
&SYSTEM
  ibrav = 0, nat = 8, ntyp = 3
/
ATOMIC_SPECIES
Fe 55.84 Fe.upf
Sn 118.71 Sn.upf
Ru 101.07 Ru.upf
ATOMIC_POSITIONS crystal
Fe 0.000 0.000 0.000
Sn 0.078 0.417 0.240
Sn 0.241 0.241 0.751
Sn 0.417 0.078 0.240
Sn 0.583 0.922 0.760
Sn 0.759 0.759 0.249
Sn 0.922 0.583 0.760
Ru 0.500 0.500 0.500
CELL_PARAMETERS angstrom
3.315 -4.759 0.000
3.315 4.759 0.000
-1.233 0.000 6.464
```

- magnetic moment (μB/f.u.) = 1.229
- symmetry = C2/m

Record 4
The following is a DFT calculation (PBE) of a relaxed Fe3SnRu crystal. Values from VASP.

```
&SYSTEM
  ibrav = 0, nat = 5, ntyp = 3
/
ATOMIC_SPECIES
Fe 55.84 Fe.upf
Sn 118.71 Sn.upf
Ru 101.07 Ru.upf
ATOMIC_POSITIONS crystal
Fe 0.000 0.000 0.500
Fe 0.000 0.500 0.000
Fe 0.500 0.000 0.000
Sn 0.500 0.500 0.500
Ru 0.000 0.000 0.000
CELL_PARAMETERS angstrom
4.650 0.000 0.000
0.000 4.650 0.000
0.000 0.000 4.650
```

- E above lowest polymorph (meV per atom) = 0.0
- magnetic moment (μB/f.u.) = 9.574
- symmetry = Pm-3m

| no. | energy of formation from the pure elements (meV per atom) | final energy (eV/cell) |
| --- | --- | --- |
| 1 | 1067 | -35.0 |
| 2 | 105 | -46.5 |
| 3 | 198 | -40.2 |
| 4 | 1145 | -32.9 |